--- w ---
This record from Alexandria via LeMat-Bulk describes a relaxed MgCoCl crystal. The functional is PBE-GGA.

Cell lengths 4.1237, 3.3520, 8.7238 Å; angles 90.00, 103.49, 90.00 degrees
Fractional coordinates of all 6 atoms:
Mg 0.0676 0.2500 0.1379
Mg 0.9324 0.7500 0.8621
Co 0.4548 0.2500 0.9080
Co 0.5452 0.7500 0.0920
Cl 0.3475 0.7500 0.6906
Cl 0.6525 0.2500 0.3094

Properties
As for the symmetry: P2_1/m, No. 11. For the total magnetization, the calculation gives 0.271 μB per formula unit.

--- x ---
This record from Alexandria via LeMat-Bulk describes a relaxed MgCoCl crystal. The functional is PBE-GGA.

Cell lengths 3.2522, 3.2522, 5.6159 Å; angles 90.00, 90.00, 120.00 degrees
Fractional coordinates of all 3 atoms:
Mg 0.0000 0.0000 0.0000
Co 0.3333 0.6667 0.6614
Cl 0.6667 0.3333 0.3616

Properties
As for the symmetry: P3m1, No. 156. For the total magnetization, the calculation gives 1.911 μB per formula unit.

Energies in kJ/mol of atoms, measured from the most stable structure: w 0.0; x 28.2.

--- w ---
This record from Alexandria via LeMat-Bulk describes a relaxed MgCoCl crystal. The functional is PBE-GGA.

Cell lengths 4.2428, 4.2428, 4.2428 Å; angles 60.00, 60.00, 60.00 degrees
Fractional coordinates of all 3 atoms:
Mg 0.0000 0.0000 0.0000
Co 0.2500 0.2500 0.2500
Cl 0.5000 0.5000 0.5000

Properties
As for the symmetry: F-43m, No. 216. For the total magnetization, the calculation gives 0.812 μB per formula unit.

--- x ---
This record from Alexandria via LeMat-Bulk describes a relaxed MgCoCl crystal. The functional is PBE-GGA.

Cell lengths 3.6426, 3.6426, 11.7358 Å; angles 102.85, 102.85, 60.05 degrees
Fractional coordinates of all 6 atoms:
Mg 0.0692 0.0692 0.2962
Mg 0.9308 0.9308 0.7038
Co 0.1763 0.1763 0.5208
Co 0.8237 0.8237 0.4792
Cl 0.3445 0.3445 0.1744
Cl 0.6555 0.6555 0.8256

Properties
As for the symmetry: C2/m, No. 12. For the total magnetization, the calculation gives 1.098 μB per formula unit.

Energies in kJ/mol of atoms, measured from the most stable structure: w 96.1; x 0.0.

--- w ---
This record from Alexandria via LeMat-Bulk describes a relaxed MgCoCl2 crystal. The functional is PBE-GGA.

Cell lengths 4.7600, 4.7600, 4.7600 Å; angles 60.00, 60.00, 60.00 degrees
Fractional coordinates of all 4 atoms:
Mg 0.0000 0.0000 0.0000
Co 0.7500 0.7500 0.7500
Cl 0.2500 0.2500 0.2500
Cl 0.5000 0.5000 0.5000

Properties
As for the symmetry: F-43m, No. 216. For the total magnetization, the calculation gives 1.529 μB per formula unit.

--- x ---
This record from Alexandria via LeMat-Bulk describes a relaxed MgCoCl2 crystal. The functional is PBE-GGA.

Cell lengths 3.2114, 3.9291, 5.8777 Å; angles 90.00, 90.00, 90.00 degrees
Fractional coordinates of all 4 atoms:
Mg 0.0000 0.0000 0.0000
Co 0.5000 0.0000 0.5000
Cl 0.0000 0.5000 0.5000
Cl 0.5000 0.5000 0.0000

Properties
As for the symmetry: Pmmm, No. 47. For the total magnetization, the calculation gives 1.406 μB per formula unit.

Energies in kJ/mol of atoms, measured from the most stable structure: w 43.3; x 0.0.

--- w ---
This record from Alexandria via LeMat-Bulk describes a relaxed MgCoCl2 crystal. The functional is PBE-GGA.

Cell lengths 6.8403, 6.8403, 6.8403 Å; angles 134.05, 134.05, 67.01 degrees
Fractional coordinates of all 8 atoms:
Mg 0.0000 0.0000 0.0000
Mg 0.7500 0.2500 0.5000
Co 0.2500 0.7500 0.5000
Co 0.5000 0.5000 0.0000
Cl 0.1479 0.6250 0.0229
Cl 0.3750 0.3979 0.5229
Cl 0.6021 0.1250 0.9771
Cl 0.8750 0.8521 0.4771

Properties
As for the symmetry: I-42d, No. 122. For the total magnetization, the calculation gives 1.177 μB per formula unit.

--- x ---
This record from Alexandria via LeMat-Bulk describes a relaxed MgCoCl2 crystal. The functional is PBE-GGA.

Cell lengths 3.8408, 3.3268, 7.1071 Å; angles 90.00, 99.60, 90.00 degrees
Fractional coordinates of all 4 atoms:
Mg 0.0000 0.0000 0.0000
Co 0.5433 0.5000 0.1147
Cl 0.3108 0.5000 0.8050
Cl 0.6742 0.0000 0.3286

Properties
As for the symmetry: Pm, No. 6. For the total magnetization, the calculation gives 1.001 μB per formula unit.

Energies in kJ/mol of atoms, measured from the most stable structure: w 22.2; x 0.0.

--- w ---
This record from Alexandria via LeMat-Bulk describes a relaxed MgCoCl2 crystal. The functional is PBE-GGA.

Cell lengths 6.0208, 6.0208, 6.0208 Å; angles 148.94, 106.99, 81.45 degrees
Fractional coordinates of all 4 atoms:
Mg 0.0000 0.0000 0.0000
Co 0.7492 0.2492 0.5000
Cl 0.1921 0.6921 0.5000
Cl 0.5801 0.5801 0.0000

Properties
As for the symmetry: Imm2, No. 44. For the total magnetization, the calculation gives 1.741 μB per formula unit.

--- x ---
This record from Alexandria via LeMat-Bulk describes a relaxed MgCoCl2 crystal. The functional is PBE-GGA.

Cell lengths 6.8882, 6.8882, 3.8561 Å; angles 98.01, 98.01, 31.84 degrees
Fractional coordinates of all 4 atoms:
Mg 0.0000 0.0000 0.0000
Co 0.5000 0.5000 0.5000
Cl 0.3748 0.3748 0.8262
Cl 0.6252 0.6252 0.1738

Properties
As for the symmetry: C2/m, No. 12. For the total magnetization, the calculation gives 1.025 μB per formula unit.

--- y ---
This record from Alexandria via LeMat-Bulk describes a relaxed MgCoCl2 crystal. The functional is PBE-GGA.

Cell lengths 8.9436, 8.9436, 8.9436 Å; angles 21.99, 21.99, 21.99 degrees
Fractional coordinates of all 4 atoms:
Mg 0.0000 0.0000 0.0000
Co 0.5000 0.5000 0.5000
Cl 0.2210 0.2210 0.2210
Cl 0.7790 0.7790 0.7790

Properties
As for the symmetry: R-3m, No. 166. For the total magnetization, the calculation gives 2.626 μB per formula unit.

--- z ---
This record from Alexandria via LeMat-Bulk describes a relaxed MgCoCl2 crystal. The functional is PBE-GGA.

Cell lengths 4.5120, 4.5120, 3.2366 Å; angles 90.00, 90.00, 90.00 degrees
Fractional coordinates of all 4 atoms:
Mg 0.0000 0.0000 0.0000
Co 0.5000 0.5000 0.0000
Cl 0.0000 0.5000 0.5000
Cl 0.5000 0.0000 0.5000

Properties
As for the symmetry: P4/mmm, No. 123. For the total magnetization, the calculation gives 1.369 μB per formula unit.

Energies in kJ/mol of atoms, measured from the most stable structure: w 18.1; x 0.0; y 21.2; z 48.7.

--- w ---
This record from Alexandria via LeMat-Bulk describes a relaxed MgCoCl2 crystal. The functional is PBE-GGA.

Cell lengths 7.0265, 7.0265, 7.0265 Å; angles 150.31, 147.41, 44.66 degrees
Fractional coordinates of all 4 atoms:
Mg 0.0000 0.0000 0.0000
Co 0.5000 0.5000 0.0000
Cl 0.3764 0.8764 0.5000
Cl 0.6236 0.1236 0.5000

Properties
As for the symmetry: Immm, No. 71. For the total magnetization, the calculation gives 1.110 μB per formula unit.

--- x ---
This record from Alexandria via LeMat-Bulk describes a relaxed MgCoCl2 crystal. The functional is PBE-GGA.

Cell lengths 4.5456, 4.5456, 4.5456 Å; angles 60.00, 60.00, 60.00 degrees
Fractional coordinates of all 4 atoms:
Mg 0.0000 0.0000 0.0000
Co 0.5000 0.5000 0.5000
Cl 0.2500 0.2500 0.2500
Cl 0.7500 0.7500 0.7500

Properties
As for the symmetry: Fm-3m, No. 225. For the total magnetization, the calculation gives 1.163 μB per formula unit.

Energies in kJ/mol of atoms, measured from the most stable structure: w 0.0; x 44.7.